Below is an optimized crystal structure of PbWOF2, with properties calculated at the PBE with a Hubbard U level.

Output
Raw total energy, eV for the cell shown: -22.50
Calculated volume, Å³/atom: 18.388

abc: 4.5458 4.5458 4.4492
angles: 90.00 90.00 90.00
Last column: nearest neighbours and their distance in Å.
Element x y z (fractional)
F 0.0000 0.5000 0.0000  2 Pb 2.27
W 0.5000 0.5000 0.5000  8 F 3.18, 4 O 3.21
O 0.0000 0.0000 0.5000  2 Pb 2.22
Pb 0.0000 0.0000 0.0000  2 O 2.22, 4 F 2.27
F 0.5000 0.0000 0.0000  2 Pb 2.27